An optimized crystal structure of Sm4Te3Au. Source: Alexandria via LeMat-Bulk, functional PBE.

Summary:
- total magnetization (μB per cell) = 0.0
- E_form (uncorrected) (eV/atom) = -1.25

a b c (Å): 9.0237 12.5216 4.3045
angles (deg): 90.00 90.00 90.00
Space group Cmmm (No. 65)
Symmetry-distinct sites (fractional):
Sm1 0.0000 0.2438 0.0000
Sm2 0.2315 0.0000 0.5000
Te1 0.0000 0.5000 0.0000
Te2 0.2500 0.2500 0.5000
Au1 0.0000 0.0000 0.0000